[1]
A plane-wave DFT calculation with PBE-GGA was carried out for an optimized crystal structure of Ag7ClF5.

Cell: 3.3172 6.4720 20.8132 Å, 88.57 90.00 104.85°
Fractional coordinates of all 26 atoms:
Ag (0.3452, 0.6905, 0.0126)
F (0.3255, 0.6510, 0.9064)
Ag (0.5690, 0.1379, 0.2406)
Ag (0.9515, 0.9030, 0.3901)
Ag (0.0242, 0.0484, 0.1246)
Ag (0.4316, 0.8632, 0.7594)
Ag (0.0490, 0.0981, 0.6099)
F (0.3861, 0.7722, 0.1182)
Ag (0.7712, 0.5424, 0.8213)
Ag (0.9764, 0.9528, 0.8754)
Cl (0.9029, 0.8058, 0.2689)
Ag (0.2256, 0.4513, 0.3121)
Cl (0.0977, 0.1953, 0.7311)
F (0.3014, 0.6028, 0.4169)
F (0.6050, 0.2101, 0.3665)
F (0.0003, 0.0006, 0.0000)
F (0.6751, 0.3503, 0.0936)
F (0.3955, 0.7910, 0.6334)
Ag (0.6554, 0.3107, 0.9874)
Ag (0.2294, 0.4588, 0.1787)
F (0.6992, 0.3983, 0.5831)
Ag (0.7749, 0.5498, 0.6879)
Ag (0.3415, 0.6830, 0.5263)
Ag (0.6590, 0.3181, 0.4737)
F (0.6145, 0.2291, 0.8819)
F (0.0003, 0.0006, 0.5000)

Output
Space group: C2/m
Formation energy without anion corrections: -0.801 eV per atom
Density of states at the Fermi level: 0.022 states/eV per atom

***

[2]
A plane-wave DFT calculation with PBE-GGA was carried out for an optimized crystal structure of Ag4Cl2F3.

Cell: 6.7485 7.1858 7.1858 Å, 77.27 94.25 94.25°
Fractional coordinates of all 18 atoms:
Ag (0.9763, 0.2233, 0.5249)
F (0.4184, 0.2074, 0.9853)
F (0.0816, 0.0147, 0.7926)
F (0.7500, 0.2864, 0.7136)
Ag (0.0237, 0.7767, 0.4751)
F (0.9184, 0.9853, 0.2074)
Ag (0.5368, 0.9926, 0.2474)
Cl (0.3324, 0.2108, 0.4240)
Ag (0.4763, 0.5249, 0.2233)
Ag (0.9632, 0.7526, 0.0074)
Cl (0.1676, 0.5760, 0.7892)
Cl (0.8324, 0.4240, 0.2108)
F (0.5816, 0.7926, 0.0147)
Cl (0.6676, 0.7892, 0.5760)
Ag (0.4632, 0.0074, 0.7526)
F (0.2500, 0.7136, 0.2864)
Ag (0.0368, 0.2474, 0.9926)
Ag (0.5237, 0.4751, 0.7767)

Output
Space group: C2/c
Formation energy without anion corrections: -0.787 eV per atom
Density of states at the Fermi level: 0.638 states/eV per atom

***

[3]
A plane-wave DFT calculation with PBE-GGA was carried out for an optimized crystal structure of AgCl2F2.

Cell: 3.9361 3.9361 9.6341 Å, 74.49 74.49 52.00°
Fractional coordinates of all 5 atoms:
F (0.3325, 0.3325, 0.1023)
Ag (0.0000, 0.0000, 0.0000)
Cl (0.5868, 0.5868, 0.3982)
Cl (0.4132, 0.4132, 0.6018)
F (0.6675, 0.6675, 0.8977)

Output
Space group: C2/m
Formation energy without anion corrections: -0.619 eV per atom
Density of states at the Fermi level: 0.704 states/eV per atom

***

[4]
A plane-wave DFT calculation with PBE-GGA was carried out for an optimized crystal structure of AgGeClF6.

Cell: 6.2723 6.3603 5.2164 Å, 113.14 97.71 53.59°
Site moments in Bohr magnetons follow the coordinates.
Fractional coordinates of all 9 atoms:
F (0.5988, 0.9498, 0.1746)  0.00
Ge (0.3744, 0.2864, 0.4415)  0.00
Ag (0.6080, 0.6956, 0.6590)  0.07
F (0.3134, 0.1664, 0.6620)  0.01
F (0.0615, 0.3509, 0.2944)  0.00
F (0.6063, 0.3191, 0.6643)  0.01
F (0.0342, 0.7208, 0.7854)  0.00
Cl (0.0604, 0.9905, 0.0076)  0.00
F (0.3427, 0.5206, 0.3111)  0.00

Output
Space group: P1
Formation energy without anion corrections: -1.618 eV per atom
Density of states at the Fermi level: 0.000 states/eV per atom

***

[5]
A plane-wave DFT calculation with PBE-GGA was carried out for an optimized crystal structure of Ag2HCl2F2.

Cell: 3.9315 3.9315 9.4740 Å, 90.00 90.00 120.00°
Site moments in Bohr magnetons follow the coordinates.
Fractional coordinates of all 7 atoms:
Cl (0.0000, 0.0000, 0.8358)  0.10
H (0.0000, 0.0000, 0.0000)  0.00
F (0.6667, 0.3333, 0.5989)  0.11
Cl (0.0000, 0.0000, 0.1642)  0.10
Ag (0.6667, 0.3333, 0.3317)  0.27
Ag (0.3333, 0.6667, 0.6683)  0.27
F (0.3333, 0.6667, 0.4011)  0.11

Output
Space group: P-3m1
Final energy: -3.04 eV per atom
Density of states at the Fermi level: 1.179 states/eV per atom

***

[6]
A plane-wave DFT calculation with PBE-GGA was carried out for an optimized crystal structure of AgHClF.

Cell: 4.4530 4.2105 5.5404 Å, 94.02 105.73 59.30°
Fractional coordinates of all 4 atoms:
H (0.7931, 0.7958, 0.3512)
Ag (0.7518, 0.3592, 0.8288)
Cl (0.0530, 0.6886, 0.7068)
F (0.6474, 0.8599, 0.1760)

Output
Space group: P1
Final energy: -3.44 eV per atom
Density of states at the Fermi level: 0.000 states/eV per atom

***

[7]
A plane-wave DFT calculation with PBE-GGA was carried out for an optimized crystal structure of HfAg2Cl4F2.

Cell: 5.6459 7.0725 7.0725 Å, 63.84 93.91 93.91°
Fractional coordinates of all 9 atoms:
F (0.7691, 0.9075, 0.9075)
Cl (0.3037, 0.1059, 0.6401)
Cl (0.6963, 0.3599, 0.8941)
Ag (0.4758, 0.7144, 0.7144)
Hf (0.5000, 0.0000, 0.0000)
F (0.2309, 0.0925, 0.0925)
Cl (0.3037, 0.6401, 0.1059)
Ag (0.5242, 0.2856, 0.2856)
Cl (0.6963, 0.8941, 0.3599)

Output
Space group: C2/m
Formation energy without anion corrections: -1.653 eV per atom
Density of states at the Fermi level: 0.000 states/eV per atom

***

[8]
A plane-wave DFT calculation with PBE-GGA was carried out for an optimized crystal structure of Ag2Hg2Cl2F5.

Cell: 4.2305 4.2305 13.0025 Å, 99.36 99.36 90.00°
Site moments in Bohr magnetons follow the coordinates.
Fractional coordinates of all 11 atoms:
Ag (0.6869, 0.6869, 0.3738)  0.18
F (0.0000, 0.0000, 0.0000)  0.00
F (0.8779, 0.3779, 0.7558)  0.01
F (0.3779, 0.8779, 0.7558)  0.01
Cl (0.7846, 0.7846, 0.5692)  0.23
Hg (0.0874, 0.0874, 0.1747)  0.00
F (0.1221, 0.6221, 0.2442)  0.01
Hg (0.9126, 0.9126, 0.8253)  0.00
Cl (0.2154, 0.2154, 0.4308)  0.23
F (0.6221, 0.1221, 0.2442)  0.01
Ag (0.3131, 0.3131, 0.6262)  0.18

Output
Space group: I4/mmm
Formation energy without anion corrections: -0.953 eV per atom
Density of states at the Fermi level: 0.563 states/eV per atom

***

[9]
A plane-wave DFT calculation with PBE-GGA was carried out for an optimized crystal structure of Ag4HgCl2F2.

Cell: 3.8046 7.8353 8.1621 Å, 123.05 90.00 104.05°
Fractional coordinates of all 9 atoms:
Hg (0.0000, 0.0000, 0.0000)
Ag (0.2286, 0.4571, 0.1669)
Cl (0.8507, 0.7015, 0.4439)
Cl (0.1493, 0.2985, 0.5561)
Ag (0.5204, 0.0408, 0.3261)
F (0.3517, 0.7034, 0.0574)
Ag (0.4796, 0.9592, 0.6739)
Ag (0.7714, 0.5429, 0.8331)
F (0.6483, 0.2966, 0.9426)

Output
Space group: C2/m
Formation energy without anion corrections: -0.610 eV per atom

***

[10]
A plane-wave DFT calculation with PBE-GGA was carried out for an optimized crystal structure of Ag2IClF.

Cell: 3.9207 7.4030 9.8418 Å, 109.55 90.00 105.36°
Fractional coordinates of all 10 atoms:
Cl (0.9646, 0.9293, 0.7613)
F (0.3267, 0.6534, 0.9801)
Cl (0.0354, 0.0707, 0.2387)
Ag (0.1521, 0.3041, 0.8721)
I (0.3124, 0.6247, 0.3404)
Ag (0.3422, 0.6844, 0.7324)
Ag (0.6578, 0.3156, 0.2676)
I (0.6876, 0.3753, 0.6596)
Ag (0.8479, 0.6959, 0.1279)
F (0.6733, 0.3466, 0.0199)

Output
Space group: C2/m
Formation energy without anion corrections: -0.566 eV per atom
Density of states at the Fermi level: 1.078 states/eV per atom

***

[11]
A plane-wave DFT calculation with PBE-GGA was carried out for an optimized crystal structure of Ag6I2ClF2.

Cell: 6.1873 7.2919 7.1732 Å, 115.23 90.00 115.10°
Fractional coordinates of all 11 atoms:
Cl (0.5000, 0.0000, 0.5000)
Ag (0.4080, 0.2851, 0.8208)
F (0.0089, 0.0178, 0.7993)
I (0.7055, 0.4109, 0.2804)
Ag (0.5920, 0.7149, 0.1792)
I (0.2945, 0.5891, 0.7196)
F (0.9911, 0.9822, 0.2007)
Ag (0.8296, 0.6592, 0.7911)
Ag (0.8770, 0.2851, 0.8208)
Ag (0.1704, 0.3408, 0.2089)
Ag (0.1230, 0.7149, 0.1792)

Output
Space group: C2/m
Formation energy without anion corrections: -0.446 eV per atom
Density of states at the Fermi level: 0.155 states/eV per atom

***

[12]
A plane-wave DFT calculation with PBE-GGA was carried out for an optimized crystal structure of Ag2IrCl4F2.

Cell: 5.6674 6.7372 6.7372 Å, 63.97 91.43 91.43°
Site moments in Bohr magnetons follow the coordinates.
Fractional coordinates of all 9 atoms:
Cl (0.3016, 0.1121, 0.6597)  0.04
F (0.2515, 0.1166, 0.1166)  0.07
Ag (0.4560, 0.7029, 0.7029)  0.04
Cl (0.3016, 0.6597, 0.1121)  0.04
Cl (0.6984, 0.3403, 0.8879)  0.04
F (0.7485, 0.8834, 0.8834)  0.07
Ag (0.5440, 0.2971, 0.2971)  0.04
Ir (0.5000, 0.0000, 0.0000)  0.58
Cl (0.6984, 0.8879, 0.3403)  0.04

Output
Space group: C2/m
Formation energy without anion corrections: -0.694 eV per atom
Density of states at the Fermi level: 0.570 states/eV per atom

***

[13]
A plane-wave DFT calculation with PBE-GGA was carried out for an optimized crystal structure of Ag2IrCl2F4.

Cell: 5.0796 6.4270 6.4270 Å, 51.78 103.64 103.64°
Site moments in Bohr magnetons follow the coordinates.
Fractional coordinates of all 9 atoms:
F (0.7662, 0.8109, 0.3162)  0.06
Ag (0.7865, 0.3613, 0.3613)  0.01
Cl (0.6493, 0.8254, 0.8254)  0.02
F (0.2338, 0.6838, 0.1891)  0.06
F (0.2338, 0.1891, 0.6838)  0.06
Ag (0.2135, 0.6387, 0.6387)  0.01
Ir (0.5000, 0.0000, 0.0000)  0.68
F (0.7662, 0.3162, 0.8109)  0.06
Cl (0.3507, 0.1746, 0.1746)  0.02

Output
Space group: C2/m
Formation energy without anion corrections: -0.995 eV per atom
Density of states at the Fermi level: 0.442 states/eV per atom

***

[14]
A plane-wave DFT calculation with PBE-GGA was carried out for an optimized crystal structure of Ag3IrCl6F2.

Cell: 5.8998 7.0136 7.7099 Å, 117.05 107.42 90.00°
Site moments in Bohr magnetons follow the coordinates.
Fractional coordinates of all 12 atoms:
Ag (0.5000, 0.5000, 0.5000)  0.07
F (0.7155, 0.3452, 0.6903)  0.04
F (0.2845, 0.6548, 0.3097)  0.04
Cl (0.7309, 0.8922, 0.7844)  0.03
Ir (0.5000, 0.0000, 0.0000)  0.36
Ag (0.5000, 0.0000, 0.5000)  0.07
Cl (0.7468, 0.8634, 0.2029)  0.04
Ag (0.0000, 0.5000, 0.0000)  0.05
Cl (0.2691, 0.1078, 0.2156)  0.03
Cl (0.7468, 0.3394, 0.2029)  0.04
Cl (0.2532, 0.1366, 0.7971)  0.04
Cl (0.2532, 0.6606, 0.7971)  0.04

Output
Space group: C2/m
Formation energy without anion corrections: -0.610 eV per atom
Density of states at the Fermi level: 1.002 states/eV per atom

***

[15]
A plane-wave DFT calculation with PBE-GGA was carried out for an optimized crystal structure of K2AgClF6.

Cell: 6.6399 6.5672 7.0519 Å, 55.16 58.02 78.96°
Fractional coordinates of all 10 atoms:
F (0.9973, 0.0613, 0.2426)
F (0.2490, 0.2954, 0.6862)
F (0.3829, 0.7824, 0.0120)
F (0.6171, 0.2176, 0.9880)
Cl (0.5000, 0.5000, 0.0000)
F (0.0027, 0.9387, 0.7574)
K (0.2931, 0.7925, 0.4310)
Ag (0.0000, 0.0000, 0.0000)
K (0.7069, 0.2075, 0.5690)
F (0.7510, 0.7046, 0.3138)

Output
Space group: P-1
Formation energy without anion corrections: -1.712 eV per atom
Density of states at the Fermi level: 0.494 states/eV per atom

***

[16]
A plane-wave DFT calculation with PBE-GGA was carried out for an optimized crystal structure of K2AgCl2F4.

Cell: 6.1816 6.1816 6.1816 Å, 105.38 111.55 111.55°
Site moments in Bohr magnetons follow the coordinates.
Fractional coordinates of all 9 atoms:
K (0.5000, 0.2500, 0.7500)  0.00
F (0.4239, 0.2119, 0.2119)  0.13
Cl (0.0000, 0.3615, 0.3615)  0.00
Ag (0.0000, 0.0000, 0.0000)  0.46
F (0.5761, 0.7881, 0.7881)  0.13
Cl (0.0000, 0.6385, 0.6385)  0.00
F (0.0000, 0.2119, 0.7881)  0.13
F (0.0000, 0.7881, 0.2119)  0.13
K (0.5000, 0.7500, 0.2500)  0.00

Output
Space group: I4/mmm
Formation energy without anion corrections: -1.533 eV per atom

***

[17]
A plane-wave DFT calculation with PBE-GGA was carried out for an optimized crystal structure of KAgClF2.

Cell: 4.4687 4.4687 5.0155 Å, 90.00 90.00 90.00°
Fractional coordinates of all 5 atoms:
F (0.5000, 0.0000, 0.0000)
F (0.0000, 0.5000, 0.0000)
K (0.5000, 0.5000, 0.5000)
Cl (0.0000, 0.0000, 0.5000)
Ag (0.0000, 0.0000, 0.0000)

Output
Space group: P4/mmm
Formation energy without anion corrections: -1.555 eV per atom
Density of states at the Fermi level: 0.188 states/eV per atom

***

[18]
A plane-wave DFT calculation with PBE-GGA was carried out for an optimized crystal structure of KAg2Cl2F.

Cell: 5.7152 7.9184 7.9139 Å, 111.12 90.00 90.00°
Fractional coordinates of all 12 atoms:
Cl (0.2500, 0.1442, 0.4376)
Ag (0.5000, 0.8004, 0.7996)
K (0.7500, 0.2784, 0.7224)
K (0.2500, 0.7216, 0.2776)
Ag (0.5000, 0.1996, 0.2004)
Ag (0.0000, 0.8004, 0.7996)
Cl (0.7500, 0.8558, 0.5624)
F (0.7500, 0.9293, 0.0703)
Cl (0.2500, 0.5631, 0.8548)
Cl (0.7500, 0.4369, 0.1452)
Ag (0.0000, 0.1996, 0.2004)
F (0.2500, 0.0707, 0.9297)

Output
Space group: P2_1/m
Formation energy without anion corrections: -1.088 eV per atom
Density of states at the Fermi level: 0.000 states/eV per atom

***

[19]
A plane-wave DFT calculation with PBE-GGA was carried out for an optimized crystal structure of K3Ag2Cl3F2.

Cell: 4.5714 4.5714 13.1745 Å, 99.99 99.99 90.00°
Fractional coordinates of all 10 atoms:
F (0.2223, 0.2223, 0.4445)
Ag (0.2500, 0.7500, 0.5000)
Ag (0.7500, 0.2500, 0.5000)
Cl (0.6283, 0.6283, 0.2566)
F (0.7777, 0.7777, 0.5555)
Cl (0.3717, 0.3717, 0.7434)
K (0.5000, 0.5000, 0.0000)
K (0.1217, 0.1217, 0.2434)
K (0.8783, 0.8783, 0.7566)
Cl (0.0000, 0.0000, 0.0000)

Output
Space group: I4/mmm
Formation energy without anion corrections: -1.533 eV per atom

***

[20]
A plane-wave DFT calculation with PBE-GGA was carried out for an optimized crystal structure of KAg2ClF2.

Cell: 5.9166 4.9344 10.0413 Å, 114.76 90.00 90.00°
Fractional coordinates of all 12 atoms:
Ag (0.0008, 0.9590, 0.1454)
Ag (0.5008, 0.0410, 0.8546)
Cl (0.2500, 0.3837, 0.0718)
F (0.7500, 0.9254, 0.6541)
K (0.7500, 0.3490, 0.5663)
F (0.2500, 0.6728, 0.6908)
Ag (0.9992, 0.0410, 0.8546)
Ag (0.4992, 0.9590, 0.1454)
K (0.2500, 0.6510, 0.4337)
F (0.7500, 0.3272, 0.3092)
Cl (0.7500, 0.6163, 0.9282)
F (0.2500, 0.0746, 0.3459)

Output
Space group: P2_1/m
Formation energy without anion corrections: -1.320 eV per atom

***

[21]
A plane-wave DFT calculation with PBE-GGA was carried out for an optimized crystal structure of K3Ag2Cl2F5.

Cell: 4.5063 4.5063 12.3468 Å, 100.51 100.51 90.00°
Fractional coordinates of all 12 atoms:
F (0.5000, 0.5000, 0.0000)
K (0.0000, 0.0000, 0.0000)
F (0.4132, 0.9132, 0.8264)
F (0.9132, 0.4132, 0.8264)
F (0.5868, 0.0868, 0.1736)
K (0.8337, 0.8337, 0.6673)
Cl (0.6950, 0.6950, 0.3900)
K (0.1663, 0.1663, 0.3327)
Ag (0.5904, 0.5904, 0.1808)
F (0.0868, 0.5868, 0.1736)
Cl (0.3050, 0.3050, 0.6100)
Ag (0.4096, 0.4096, 0.8192)

Output
Space group: I4/mmm
Formation energy without anion corrections: -1.774 eV per atom
Density of states at the Fermi level: 0.286 states/eV per atom

***

[22]
A plane-wave DFT calculation with PBE-GGA was carried out for an optimized crystal structure of LiAg3Cl2F6.

Cell: 5.3340 6.4682 7.0899 Å, 117.14 81.33 90.00°
Site moments in Bohr magnetons follow the coordinates.
Fractional coordinates of all 12 atoms:
Ag (0.5000, 0.0000, 0.5000)  0.44
F (0.7494, 0.3408, 0.1148)  0.01
F (0.2506, 0.6592, 0.8852)  0.01
F (0.2506, 0.2261, 0.8852)  0.01
Ag (0.5000, 0.5000, 0.5000)  0.44
F (0.7494, 0.7739, 0.1148)  0.01
Cl (0.8149, 0.2850, 0.5699)  0.26
Cl (0.1851, 0.7150, 0.4301)  0.26
Ag (0.0000, 0.5000, 0.0000)  0.01
F (0.6266, 0.8479, 0.6958)  0.19
F (0.3734, 0.1521, 0.3042)  0.19
Li (0.5000, 0.0000, 0.0000)  0.00

Output
Space group: C2/m
Formation energy without anion corrections: -1.166 eV per atom
Density of states at the Fermi level: 0.129 states/eV per atom